Density functional theory data (GGA+U) for a relaxed Mn2CuSbO6 crystal.

abc: 4.8949 5.3180 5.9199
angles: 116.69 115.72 90.00
Sites, in units of the cell vectors:
Mn 0.1924 0.2496 0.4992
Mn 0.8076 0.7504 0.5008
Cu 0.5000 0.0000 0.0000
Sb 0.0000 0.5000 0.0000
O 0.3520 0.6944 0.3888
O 0.1748 0.1521 0.8245
O 0.8252 0.3276 0.1755
O 0.1748 0.6724 0.8245
O 0.8252 0.8479 0.1755
O 0.6480 0.3056 0.6112

Properties
- calculated density (g cm⁻³) = 5.397
- E (eV/atom) = -6.559